<A>
DFT (meta-GGA SCAN) results for a crystal of LaCr2Ir relaxed with PBEsol.

a = 2.8106 Å, b = 4.2722 Å, c = 5.8760 Å
α = 90.00°, β = 102.32°, γ = 90.00°
Last column: nearest neighbours and their distance in Å.
Space group P2/m (No. 10)
Asymmetric unit:
La 0.0000 0.0000 0.0000 x1  2 La 2.81, 2 Ir 2.97, 4 Cr 3.04
Cr 0.1712 0.5000 0.6592 x2  1 Cr 1.91
Ir 0.5000 0.0000 0.5000 x1  8 Cr 2.58-2.87, 2 Ir 2.81

**Calculated volume**: 68.9 Å³ per cell
**Crystal system**: monoclinic


<B>
DFT (meta-GGA SCAN) results for a crystal of LaCr2Ir relaxed with PBEsol.

a = 2.7808 Å, b = 2.7808 Å, c = 28.3906 Å
α = 90.00°, β = 90.00°, γ = 120.00°
Last column: nearest neighbours and their distance in Å.
Space group R-3m (No. 166, hexagonal axes)
Asymmetric unit:
La 0.0000 0.0000 0.0000 x3  6 La 2.78
Cr 0.0000 0.0000 0.2380 x6  3 Ir 2.58, 6 Cr 2.78
Ir 0.0000 0.0000 0.5000 x3  6 Cr 2.58, 6 Ir 2.78

**Calculated volume**: 190.1 Å³ per cell
**Crystal system**: trigonal


Of them, the most stable is <A> and the least stable is <B>.